1.
# PBE-GGA Na2MoH6Au, optimized geometry
# Total energy   -70.99 eV per cell
# Magnetization   6.11 μB/cell
data_Na2MoH6Au
_chemical_formula_sum 'Na4 Mo2 H12 Au2'
_cell_length_a 5.4200
_cell_length_b 5.4502
_cell_length_c 7.3965
_cell_angle_alpha 89.98
_cell_angle_beta 89.77
_cell_angle_gamma 89.59
_symmetry_space_group_name_H-M 'P -1'
_symmetry_Int_Tables_number 2
_symmetry_space_group_name_Hall '-P 1'
loop_
_atom_site_label
_atom_site_type_symbol
_atom_site_fract_x
_atom_site_fract_y
_atom_site_fract_z
_atom_site_occupancy
Na1 Na 0.0004 0.0081 0.2502 1
Na2 Na 0.4993 0.5082 0.2497 1
Mo1 Mo 0.0000 0.5000 0.5000 1
Mo2 Mo 0.5000 0.0000 0.0000 1
H1 H 0.0571 0.5144 0.7500 1
H2 H 0.2113 0.7691 0.4766 1
H3 H 0.2321 0.7869 0.0274 1
H4 H 0.2700 0.2854 0.4724 1
H5 H 0.2873 0.2711 0.0234 1
H6 H 0.4430 0.0141 0.7500 1
Au1 Au 0.0000 0.5000 0.0000 1
Au2 Au 0.5000 0.0000 0.5000 1

***

2.
# PBE-GGA Na2MoH6Au, optimized geometry
# Total energy   -70.98 eV per cell
# Magnetization   6.15 μB/cell
data_Na2MoH6Au
_chemical_formula_sum 'Na4 Mo2 H12 Au2'
_cell_length_a 5.3851
_cell_length_b 5.3851
_cell_length_c 7.6526
_cell_angle_alpha 90.00
_cell_angle_beta 90.00
_cell_angle_gamma 90.00
_symmetry_space_group_name_H-M 'I 4/m'
_symmetry_Int_Tables_number 87
_symmetry_space_group_name_Hall '-I 4'
loop_
_atom_site_label
_atom_site_type_symbol
_atom_site_fract_x
_atom_site_fract_y
_atom_site_fract_z
_atom_site_occupancy
Na1 Na 0.0000 0.5000 0.2500 1
Mo1 Mo 0.0000 0.0000 0.0000 1
H1 H 0.0000 0.0000 0.2446 1
H2 H 0.2392 0.7477 0.0000 1
Au1 Au 0.0000 0.0000 0.5000 1

***

3.
# PBE-GGA ReH4AuSe4N, optimized geometry
# Total energy   -53.40 eV per cell
# Magnetization   1.00 μB/cell
data_ReH4AuSe4N
_chemical_formula_sum 'Re1 H4 Au1 Se4 N1'
_cell_length_a 5.7533
_cell_length_b 6.6199
_cell_length_c 6.6204
_cell_angle_alpha 79.16
_cell_angle_beta 64.29
_cell_angle_gamma 64.30
_symmetry_space_group_name_H-M 'P 1'
_symmetry_Int_Tables_number 1
_symmetry_space_group_name_Hall 'P 1'
loop_
_atom_site_label
_atom_site_type_symbol
_atom_site_fract_x
_atom_site_fract_y
_atom_site_fract_z
_atom_site_occupancy
Re1 Re 0.0000 0.0000 0.0000 1
H1 H 0.1122 0.6316 0.4406 1
H2 H 0.1832 0.3700 0.5614 1
H3 H 0.2611 0.5601 0.6272 1
H4 H 0.4452 0.4393 0.3658 1
Au1 Au 0.5000 0.0001 0.9999 1
Se1 Se 0.0120 0.0723 0.3309 1
Se2 Se 0.4145 0.9280 0.6689 1
Se3 Se 0.6575 0.3312 0.9279 1
Se4 Se 0.9157 0.6691 0.0723 1
N1 N 0.2505 0.5004 0.4987 1

***

> What is the formula in the second record?

Na2MoH6Au

***

> magnetization of number 1 (Na2MoH6Au)?

6.11 μB/cell

***

What did the second record say?
# PBE-GGA Na2MoH6Au, optimized geometry
# Total energy   -70.98 eV per cell
# Magnetization   6.15 μB/cell
data_Na2MoH6Au
_chemical_formula_sum 'Na4 Mo2 H12 Au2'
_cell_length_a 5.3851
_cell_length_b 5.3851
_cell_length_c 7.6526
_cell_angle_alpha 90.00
_cell_angle_beta 90.00
_cell_angle_gamma 90.00
_symmetry_space_group_name_H-M 'I 4/m'
_symmetry_Int_Tables_number 87
_symmetry_space_group_name_Hall '-I 4'
loop_
_atom_site_label
_atom_site_type_symbol
_atom_site_fract_x
_atom_site_fract_y
_atom_site_fract_z
_atom_site_occupancy
Na1 Na 0.0000 0.5000 0.2500 1
Mo1 Mo 0.0000 0.0000 0.0000 1
H1 H 0.0000 0.0000 0.2446 1
H2 H 0.2392 0.7477 0.0000 1
Au1 Au 0.0000 0.0000 0.5000 1

***

> Which formula does entry 1 have?

Na2MoH6Au